Density functional theory data (PBE with a Hubbard U) for CoS2NO after structural relaxation.

abc: 4.0975 4.0975 3.8386
angles: 90.00 90.00 90.00
With the nearest neighbours (Å) after each atom.
Fractional coordinates of all 5 atoms:
Co1 0.0000 0.0000 0.0000  8 S 2.81, 4 N 2.90
S1 0.0000 0.5000 0.5000  2 O 2.05
S2 0.5000 0.0000 0.5000  2 O 2.05
N1 0.5000 0.5000 0.0000  2 O 1.92
O1 0.5000 0.5000 0.5000  2 N 1.92, 4 S 2.05

Summary:
Its spin magnetization is 3.5 μB per formula unit. As for the calculated density: 3.9 Mg/m³. Its final energy is -19.1 eV for the cell shown.